(1)
Below is a relaxed Cs4Pa3NiO12 crystal, with properties calculated at the GGA+U level. Values from VASP.

The structure in Quantum ESPRESSO input format:
```
&SYSTEM
  ibrav = 0, nat = 20, ntyp = 4
/
ATOMIC_SPECIES
Pa 231.04 Pa.upf
O 16.00 O.upf
Cs 132.91 Cs.upf
Ni 58.69 Ni.upf
CELL_PARAMETERS angstrom
-4.453 4.044 -4.758
-3.383 -0.495 6.866
6.787 3.495 0.740
ATOMIC_POSITIONS angstrom
Pa -3.918 1.774 1.054
Pa 1.167 3.770 -2.009
Pa 1.702 1.500 3.803
O -0.792 4.657 -1.482
O 1.723 5.564 -2.966
O -3.334 3.659 0.049
O 2.513 2.214 5.613
O 0.892 0.786 1.992
O -2.052 0.930 0.552
O -5.783 2.619 1.555
O -3.067 2.524 2.955
O -0.257 2.387 4.330
O 0.611 1.975 -1.053
O 2.286 3.385 2.798
O 2.018 4.520 -0.108
Cs -2.227 2.022 -2.379
Cs -1.691 -0.248 3.433
Cs -0.524 3.522 1.424
Cs 3.393 1.748 0.370
Ni 0.000 0.000 0.000
```

Space group = Im-3m (229)
Total magnetic moment = 1.13 μB/cell
DFT total energy = -7.04 eV per atom
V = 347 Å³/f.u.

(2)
Below is a relaxed LiMn5O6 crystal, with properties calculated at the GGA+U level. Values from VASP.

The structure in Quantum ESPRESSO input format:
```
&SYSTEM
  ibrav = 0, nat = 12, ntyp = 3
/
ATOMIC_SPECIES
Li 6.94 Li.upf
O 16.00 O.upf
Mn 54.94 Mn.upf
CELL_PARAMETERS angstrom
5.400 0.132 0.000
1.655 5.150 0.000
0.827 2.575 4.697
ATOMIC_POSITIONS angstrom
Li 0.000 0.000 0.000
O 2.596 3.877 1.588
O 5.288 3.942 0.000
O 4.459 1.405 1.588
O 5.286 3.981 3.109
O 1.767 1.340 0.000
O 3.423 6.452 3.109
Mn 1.655 5.150 3.127
Mn 4.355 5.216 1.531
Mn 0.827 2.575 1.570
Mn 3.527 2.641 0.000
Mn 3.527 2.641 3.167
```

Space group = C2/m (12)
Total magnetic moment = 24.00 μB/cell
DFT total energy = -7.42 eV per atom
V = 130 Å³/f.u.